Entry 1:
# K2RbHg3F8 (PBE, relaxed)
data_K2RbHg3F8
_chemical_formula_sum 'K2 Rb1 Hg3 F8'
_space_group_name_H-M_alt 'P 1'
_space_group_IT_number 1
_cell_length_a 7.741
_cell_length_b 7.741
_cell_length_c 7.741
_cell_angle_alpha 57.33
_cell_angle_beta 57.33
_cell_angle_gamma 57.33
loop_
_space_group_symop_operation_xyz
'x,y,z'
loop_
_atom_site_label
_atom_site_type_symbol
_atom_site_fract_x
_atom_site_fract_y
_atom_site_fract_z
_atom_site_occupancy
K1 K 0.000 0.000 0.000 1
K2 K 0.462 0.462 0.462 1
Rb1 Rb 0.650 0.650 0.650 1
Hg1 Hg 0.015 0.015 0.497 1
Hg2 Hg 0.015 0.497 0.015 1
Hg3 Hg 0.497 0.015 0.015 1
F1 F 0.221 0.742 0.742 1
F2 F 0.241 0.241 0.241 1
F3 F 0.242 0.242 0.818 1
F4 F 0.242 0.818 0.242 1
F5 F 0.742 0.221 0.742 1
F6 F 0.742 0.742 0.221 1
F7 F 0.787 0.787 0.787 1
F8 F 0.818 0.242 0.242 1
# - Symmetry: R3m, No. 160
# - E_form (uncorrected): -184 kJ per mole of atoms
# - Density of states at the Fermi level: 1.726 states/eV/f.u.

=====

Entry 2:
# KRbHgF6 (PBE, relaxed)
data_KRbHgF6
_chemical_formula_sum 'K1 Rb1 Hg1 F6'
_space_group_name_H-M_alt 'P 1'
_space_group_IT_number 1
_cell_length_a 6.222
_cell_length_b 6.222
_cell_length_c 4.782
_cell_angle_alpha 90.00
_cell_angle_beta 90.00
_cell_angle_gamma 120.00
loop_
_space_group_symop_operation_xyz
'x,y,z'
loop_
_atom_site_label
_atom_site_type_symbol
_atom_site_fract_x
_atom_site_fract_y
_atom_site_fract_z
_atom_site_occupancy
K1 K 0.000 0.000 0.000 1
Rb1 Rb 0.667 0.333 0.554 1
Hg1 Hg 0.333 0.667 0.272 1
F1 F 0.136 0.327 0.498 1
F2 F 0.192 0.864 0.498 1
F3 F 0.465 0.464 0.040 1
F4 F 0.536 0.001 0.040 1
F5 F 0.673 0.808 0.498 1
F6 F 0.999 0.535 0.040 1
# - Symmetry: P3, No. 143
# - E_form (uncorrected): -175 kJ per mole of atoms